Record 1
First-principles (PBE) data for crystalline Hf4TlCoN2 at its relaxed geometry, as listed in OQMD via LeMat-Bulk.

Geometry as POSCAR:
```
Hf4TlCoN2
1.0
3.2178 0.0000 0.0000
-1.6089 2.7867 0.0000
0.0000 0.0000 13.9195
Hf Tl Co N
4 1 1 2
Direct
0.0000 0.0000 0.1367
0.0000 0.0000 0.8633
0.6667 0.3333 0.3215
0.6667 0.3333 0.6785
0.0000 0.0000 0.5000
0.6667 0.3333 0.0000
0.3333 0.6667 0.2322
0.3333 0.6667 0.7678
```

Output
- symmetry = P-6m2, No. 187
- crystal system = hexagonal
- spin magnetization (μB/cell) = 0.03
- total energy (eV per atom) = -9.123

Record 2
First-principles (PBE) data for crystalline Hf4Co3W2N3 at its relaxed geometry, as listed in OQMD via LeMat-Bulk.

Geometry as POSCAR:
```
Hf4Co3W2N3
1.0
4.5771 -2.6442 0.0000
4.5771 2.6442 0.0000
-3.1988 0.0000 13.6036
Hf Co W N
8 6 4 6
Direct
0.0186 0.2068 0.0927
0.1442 0.3061 0.4075
0.2068 0.0186 0.5927
0.3061 0.1442 0.9075
0.6939 0.8558 0.0925
0.7932 0.9814 0.4073
0.8558 0.6939 0.5925
0.9814 0.7932 0.9073
0.0675 0.9325 0.7500
0.1021 0.4135 0.7489
0.4135 0.1021 0.2489
0.5865 0.8979 0.7511
0.8979 0.5865 0.2511
0.9325 0.0675 0.2500
0.3877 0.5528 0.1605
0.4472 0.6123 0.3395
0.5528 0.3877 0.6605
0.6123 0.4472 0.8395
0.0000 0.5000 0.0000
0.1494 0.6750 0.5003
0.3250 0.8506 0.9997
0.5000 0.0000 0.5000
0.6750 0.1494 0.0003
0.8506 0.3250 0.4997
```

Output
- symmetry = C2/c, No. 15
- crystal system = monoclinic
- spin magnetization (μB/cell) = 1.27
- total energy (eV per atom) = -9.831

Record 3
First-principles (PBE) data for crystalline Hf2Co3W4N3 at its relaxed geometry, as listed in OQMD via LeMat-Bulk.

Geometry as POSCAR:
```
Hf2Co3W4N3
1.0
4.4525 -2.5925 0.0000
4.4525 2.5925 0.0000
-2.9227 0.0000 13.0356
Hf Co W N
4 6 8 6
Direct
0.0400 0.8800 0.6264
0.1200 0.9600 0.8736
0.8800 0.0400 0.1264
0.9600 0.1200 0.3736
0.0847 0.4235 0.7486
0.4027 0.5973 0.2500
0.4235 0.0847 0.2486
0.5765 0.9153 0.7514
0.5973 0.4027 0.7500
0.9153 0.5765 0.2514
0.1998 0.3692 0.0907
0.3144 0.4597 0.4097
0.3692 0.1998 0.5907
0.4597 0.3144 0.9097
0.5403 0.6856 0.0903
0.6308 0.8002 0.4093
0.6856 0.5403 0.5903
0.8002 0.6308 0.9093
0.0000 0.5000 0.5000
0.1454 0.7066 0.9997
0.2934 0.8546 0.5003
0.5000 0.0000 0.0000
0.7066 0.1454 0.4997
0.8546 0.2934 0.0003
```

Output
- symmetry = C2/c, No. 15
- crystal system = monoclinic
- spin magnetization (μB/cell) = 0.03
- total energy (eV per atom) = -10.198